1:
Computed, not measured: an optimized crystal structure of Ni2BrCl at the PBE level of DFT.

Properties
Crystal system: orthorhombic

POSCAR file:
```
Ni2BrCl
1.0
-3.8813 -2.9517 1.5593
-0.5027 -0.8673 -5.0203
3.0305 -1.0909 3.9792
Br Cl Ni
1 1 2
direct
0.2500 0.7500 0.5000
0.7500 0.2500 0.5000
0.9852 0.9852 0.0000
0.5148 0.5148 0.0000
```

=====

2:
Computed, not measured: an optimized crystal structure of Ni2BrCl at the PBE level of DFT.

Properties
Crystal system: monoclinic

POSCAR file:
```
Ni2BrCl
1.0
6.1962 -0.0087 0.5549
5.1511 3.4437 0.5549
0.7301 0.2210 3.5528
Br Cl Ni
1 1 2
direct
0.4807 0.4807 0.6422
0.1981 0.1981 0.9316
0.9940 0.9940 0.1294
0.8272 0.8272 0.7968
```

=====

Most stable structure among those shown: 2. Next: +185 meV per atom.